Entry 1:
# Ag9As

Ag9As after structural relaxation (PBE, the Open Quantum Materials Database).

Structure (POSCAR):
```
Ag9As
1.0
2.908 0.000 0.000
0.000 4.036 0.000
0.000 0.000 36.872
Ag As
18 2
direct
0.000 0.000 0.100 Ag
0.000 0.000 0.940 Ag
0.500 0.500 0.900 Ag
0.500 0.500 0.654 Ag
0.500 0.500 0.221 Ag
0.500 0.500 0.739 Ag
0.000 0.000 0.261 Ag
0.500 0.500 0.060 Ag
0.000 0.000 0.779 Ag
0.500 0.500 0.302 Ag
0.000 0.000 0.020 Ag
0.000 0.000 0.698 Ag
0.000 0.000 0.180 Ag
0.500 0.500 0.980 Ag
0.000 0.000 0.860 Ag
0.500 0.500 0.820 Ag
0.000 0.000 0.346 Ag
0.500 0.500 0.140 Ag
0.000 0.000 0.621 As
0.500 0.500 0.379 As
```

---

Entry 2:
# Ag124As

Ag124As after structural relaxation (PBE, the Open Quantum Materials Database).

Structure (POSCAR):
```
Ag124As
1.0
0.000 10.277 10.277
10.277 0.000 10.277
10.277 10.277 0.000
Ag As
124 1
direct
0.800 0.800 0.000 Ag
0.000 0.400 0.000 Ag
0.000 0.000 0.799 Ag
0.800 0.400 0.200 Ag
0.000 0.201 0.799 Ag
0.200 0.600 0.000 Ag
0.200 0.200 0.000 Ag
0.200 0.800 0.400 Ag
0.600 0.600 0.600 Ag
0.800 0.400 0.600 Ag
0.000 0.200 0.400 Ag
0.200 0.600 0.800 Ag
0.600 0.400 0.600 Ag
0.000 0.000 0.600 Ag
0.600 0.000 0.400 Ag
0.400 0.800 0.200 Ag
0.000 0.000 0.400 Ag
0.600 0.600 0.800 Ag
0.000 0.400 0.800 Ag
0.000 0.600 0.800 Ag
0.799 0.799 0.201 Ag
0.600 0.800 0.800 Ag
0.200 0.000 0.600 Ag
0.200 0.000 0.400 Ag
0.200 0.600 0.200 Ag
0.800 0.600 0.800 Ag
0.800 0.800 0.400 Ag
0.000 0.400 0.200 Ag
0.600 0.400 0.200 Ag
0.600 0.200 0.600 Ag
0.600 0.000 0.000 Ag
0.600 0.400 0.400 Ag
0.600 0.000 0.600 Ag
0.600 0.800 0.000 Ag
0.200 0.400 0.400 Ag
0.200 0.200 0.400 Ag
0.800 0.400 0.400 Ag
0.800 0.400 0.000 Ag
0.800 0.600 0.200 Ag
0.200 0.200 0.200 Ag
0.400 0.400 0.200 Ag
0.600 0.800 0.400 Ag
0.600 0.600 0.000 Ag
0.800 0.200 0.400 Ag
0.000 0.799 0.000 Ag
0.600 0.200 0.200 Ag
0.400 0.000 0.600 Ag
0.400 0.000 0.400 Ag
0.600 0.000 0.800 Ag
0.799 0.201 0.000 Ag
0.200 0.000 0.200 Ag
0.600 0.200 0.000 Ag
0.200 0.400 0.600 Ag
0.600 0.600 0.200 Ag
0.800 0.800 0.800 Ag
0.200 0.600 0.400 Ag
0.400 0.600 0.200 Ag
0.400 0.600 0.600 Ag
0.000 0.600 0.600 Ag
0.799 0.201 0.799 Ag
0.800 0.200 0.600 Ag
0.400 0.000 0.000 Ag
0.000 0.600 0.000 Ag
0.400 0.600 0.800 Ag
0.201 0.799 0.799 Ag
0.201 0.799 0.000 Ag
0.000 0.400 0.600 Ag
0.799 0.000 0.201 Ag
0.800 0.600 0.600 Ag
0.201 0.000 0.799 Ag
0.799 0.000 0.000 Ag
0.600 0.400 0.000 Ag
0.000 0.200 0.200 Ag
0.000 0.800 0.600 Ag
0.400 0.200 0.200 Ag
0.201 0.799 0.201 Ag
0.400 0.400 0.400 Ag
0.400 0.200 0.800 Ag
0.600 0.400 0.800 Ag
0.400 0.200 0.000 Ag
0.600 0.000 0.200 Ag
0.400 0.600 0.000 Ag
0.400 0.200 0.400 Ag
0.400 0.800 0.600 Ag
0.000 0.800 0.800 Ag
0.000 0.600 0.400 Ag
0.600 0.600 0.400 Ag
0.800 0.800 0.600 Ag
0.400 0.800 0.000 Ag
0.400 0.000 0.200 Ag
0.800 0.400 0.800 Ag
0.200 0.400 0.000 Ag
0.000 0.600 0.200 Ag
0.799 0.201 0.201 Ag
0.400 0.400 0.800 Ag
0.000 0.200 0.600 Ag
0.000 0.400 0.400 Ag
0.000 0.000 0.201 Ag
0.201 0.000 0.000 Ag
0.600 0.800 0.200 Ag
0.600 0.200 0.400 Ag
0.400 0.800 0.400 Ag
0.200 0.800 0.600 Ag
0.600 0.800 0.600 Ag
0.201 0.201 0.799 Ag
0.800 0.600 0.000 Ag
0.400 0.200 0.600 Ag
0.400 0.800 0.800 Ag
0.800 0.000 0.400 Ag
0.200 0.200 0.600 Ag
0.200 0.600 0.600 Ag
0.400 0.600 0.400 Ag
0.400 0.400 0.000 Ag
0.000 0.201 0.000 Ag
0.400 0.000 0.800 Ag
0.400 0.400 0.600 Ag
0.000 0.800 0.400 Ag
0.800 0.600 0.400 Ag
0.600 0.200 0.800 Ag
0.200 0.400 0.200 Ag
0.800 0.000 0.800 Ag
0.200 0.400 0.800 Ag
0.800 0.000 0.600 Ag
0.000 0.799 0.201 Ag
0.000 0.000 0.000 As
```

---

Entry 3:
# Ag9As2

Ag9As2 after structural relaxation (PBE, the Open Quantum Materials Database).

Structure (POSCAR):
```
Ag9As2
1.0
-1.176 2.034 -1.676
-0.631 -2.780 -0.448
-24.605 2.347 20.111
Ag As
9 2
direct
0.333 0.667 0.653 Ag
0.000 0.000 0.271 Ag
0.000 0.000 0.729 Ag
0.667 0.333 0.806 Ag
0.333 0.667 0.194 Ag
0.667 0.333 0.577 Ag
0.333 0.667 0.423 Ag
0.667 0.333 0.347 Ag
0.000 0.000 0.500 Ag
0.667 0.333 0.120 As
0.333 0.667 0.880 As
```

---

Entry 4:
# Ag7As

Ag7As after structural relaxation (PBE, the Open Quantum Materials Database).

Structure (POSCAR):
```
Ag7As
1.0
-0.149 2.683 -0.926
-1.431 0.730 2.345
36.782 8.843 19.689
Ag As
14 2
direct
0.000 0.000 0.376 Ag
0.500 0.500 0.326 Ag
0.500 0.500 0.624 Ag
0.000 0.000 0.174 Ag
0.000 0.000 0.475 Ag
0.500 0.500 0.826 Ag
0.000 0.000 0.674 Ag
0.500 0.500 0.724 Ag
0.000 0.000 0.775 Ag
0.500 0.500 0.525 Ag
0.000 0.000 0.574 Ag
0.500 0.500 0.426 Ag
0.500 0.500 0.225 Ag
0.000 0.000 0.276 Ag
0.000 0.000 0.877 As
0.500 0.500 0.123 As
```

---

no.,E_tot (eV/cell)
1,-59.00
2,-354.16
3,-33.63
4,-47.82